# 1
## Li2Zn2Pt (PBE-GGA)

Data for a relaxed structure of Li2Zn2Pt.

Results
DFT formation energy = -0.220 eV/atom
offset from the most stable computed form = 201.4 meV per atom
density of states at the Fermi level = 0.402 states/eV per atom
symmetry = No. 127

a b c (Å): 6.904 6.904 2.834
angles (deg): 90.00 90.00 90.00
Atoms (fractional coordinates):
Li 0.866 0.634 0.000
Zn 0.163 0.663 0.500
Li 0.634 0.134 0.000
Li 0.134 0.366 0.000
Zn 0.337 0.163 0.500
Zn 0.663 0.837 0.500
Li 0.366 0.866 0.000
Pt 0.000 0.000 0.000
Pt 0.500 0.500 0.000
Zn 0.837 0.337 0.500

# 2
## LiZn3Pt4 (PBE-GGA)

Data for a relaxed structure of LiZn3Pt4.

Results
DFT formation energy = -0.582 eV/atom
density of states at the Fermi level = 0.206 states/eV per atom
symmetry = No. 139

a b c (Å): 4.331 4.331 6.775
angles (deg): 108.62 108.64 90.00
Atoms (fractional coordinates):
Zn 0.252 0.752 0.504
Pt 0.376 0.376 0.752
Zn 0.000 0.500 0.000
Li 0.500 0.000 0.000
Pt 0.624 0.624 0.248
Zn 0.748 0.248 0.496
Pt 0.876 0.876 0.752
Pt 0.124 0.124 0.248

# 3
## LiZnPt (PBE-GGA)

Data for a relaxed structure of LiZnPt.

Results
DFT formation energy = -0.313 eV/atom
offset from the most stable computed form = 259.0 meV per atom
density of states at the Fermi level = 0.242 states/eV per atom
symmetry = No. 8

a b c (Å): 4.145 4.145 4.162
angles (deg): 88.81 120.69 120.55
Atoms (fractional coordinates):
Li 0.943 0.472 0.415
Pt 0.946 0.972 0.918
Zn 0.445 0.222 0.667

# 4
## Li12Zn7Pt (PBE-GGA)

Data for a relaxed structure of Li12Zn7Pt.

Results
DFT formation energy = -0.189 eV/atom
density of states at the Fermi level = 0.417 states/eV per atom
symmetry = No. 148

a b c (Å): 7.034 7.034 7.034
angles (deg): 101.88 101.88 101.88
Atoms (fractional coordinates):
Zn 0.908 0.909 0.321
Zn 0.679 0.092 0.091
Zn 0.321 0.908 0.909
Pt 0.000 0.000 0.000
Zn 0.500 0.500 0.500
Li 0.237 0.762 0.501
Li 0.325 0.323 0.077
Li 0.763 0.238 0.499
Li 0.923 0.675 0.677
Zn 0.091 0.679 0.092
Li 0.762 0.501 0.237
Li 0.675 0.677 0.923
Li 0.238 0.499 0.763
Li 0.323 0.077 0.325
Li 0.499 0.763 0.238
Li 0.677 0.923 0.675
Zn 0.092 0.091 0.679
Li 0.077 0.325 0.323
Zn 0.909 0.321 0.908
Li 0.501 0.237 0.762

# 5
## Li3Zn2Pt2 (PBE-GGA)

Data for a relaxed structure of Li3Zn2Pt2.

Results
DFT formation energy = -0.558 eV/atom
offset from the most stable computed form = 0.0 meV per atom
density of states at the Fermi level = 0.425 states/eV per atom
symmetry = No. 12

a b c (Å): 4.286 4.286 6.678
angles (deg): 90.42 108.39 119.81
Atoms (fractional coordinates):
Zn 0.427 0.714 0.141
Zn 0.573 0.286 0.859
Li 0.000 0.000 0.000
Pt 0.148 0.574 0.721
Li 0.292 0.146 0.438
Li 0.708 0.854 0.562
Pt 0.852 0.426 0.279

# 6
## LiZn4Pt15 (PBE-GGA)

Data for a relaxed structure of LiZn4Pt15.

Results
DFT formation energy = -0.346 eV/atom
density of states at the Fermi level = 0.871 states/eV per atom
symmetry = No. 123

a b c (Å): 3.912 3.912 19.784
angles (deg): 90.00 90.00 90.00
Atoms (fractional coordinates):
Pt 0.000 0.500 0.500
Pt 0.500 0.500 0.802
Pt 0.500 0.000 0.902
Li 0.000 0.000 0.000
Pt 0.000 0.500 0.902
Pt 0.500 0.500 0.399
Pt 0.500 0.000 0.500
Pt 0.000 0.500 0.299
Pt 0.000 0.500 0.098
Zn 0.000 0.000 0.400
Pt 0.500 0.500 0.601
Zn 0.000 0.000 0.600
Zn 0.000 0.000 0.199
Zn 0.000 0.000 0.801
Pt 0.500 0.500 0.198
Pt 0.000 0.500 0.701
Pt 0.500 0.000 0.299
Pt 0.500 0.000 0.098
Pt 0.500 0.500 0.000
Pt 0.500 0.000 0.701

# 7
## Li3Zn2Pt2 (PBE-GGA)

Data for a relaxed structure of Li3Zn2Pt2.

Results
DFT formation energy = -0.374 eV/atom
offset from the most stable computed form = 183.6 meV per atom
density of states at the Fermi level = 0.211 states/eV per atom
symmetry = No. 10

a b c (Å): 4.096 2.741 9.817
angles (deg): 90.00 102.01 90.00
Atoms (fractional coordinates):
Zn 0.129 0.000 0.256
Zn 0.871 0.000 0.744
Li 0.703 0.000 0.405
Li 0.000 0.000 0.000
Li 0.297 0.000 0.595
Pt 0.578 0.500 0.155
Pt 0.422 0.500 0.845

# 8
## Li3ZnPt (PBE-GGA)

Data for a relaxed structure of Li3ZnPt.

Results
DFT formation energy = 0.305 eV/atom
offset from the most stable computed form = 658.4 meV per atom
density of states at the Fermi level = 0.512 states/eV per atom
symmetry = No. 221

a b c (Å): 4.436 4.436 4.436
angles (deg): 90.00 90.00 90.00
Atoms (fractional coordinates):
Zn 0.000 0.000 0.000
Li 0.000 0.500 0.000
Li 0.500 0.000 0.000
Pt 0.500 0.500 0.500
Li 0.000 0.000 0.500

# 9
## Li5ZnPt2 (PBE-GGA)

Data for a relaxed structure of Li5ZnPt2.

Results
DFT formation energy = -0.430 eV/atom
density of states at the Fermi level = 0.334 states/eV per atom
symmetry = No. 55

a b c (Å): 3.873 5.406 10.736
angles (deg): 90.00 90.00 90.00
Atoms (fractional coordinates):
Li 0.000 0.983 0.749
Li 0.000 0.000 0.000
Li 0.500 0.730 0.628
Li 0.000 0.517 0.249
Li 0.000 0.017 0.251
Pt 0.500 0.228 0.620
Zn 0.000 0.000 0.500
Li 0.000 0.483 0.751
Pt 0.500 0.728 0.880
Pt 0.500 0.772 0.380
Zn 0.000 0.500 0.000
Li 0.500 0.770 0.128
Li 0.500 0.270 0.372
Li 0.000 0.500 0.500
Li 0.500 0.230 0.872
Pt 0.500 0.272 0.120

# 10
## Li3ZnPt2 (PBE-GGA)

Data for a relaxed structure of Li3ZnPt2.

Results
DFT formation energy = -0.560 eV/atom
density of states at the Fermi level = 0.222 states/eV per atom
symmetry = No. 191

a b c (Å): 5.473 8.298 8.298
angles (deg): 120.00 90.00 90.00
Atoms (fractional coordinates):
Li 0.500 0.836 0.164
Pt 0.750 0.500 0.500
Li 0.500 0.673 0.836
Pt 0.750 0.000 0.000
Zn 0.500 0.333 0.667
Pt 0.250 0.000 0.500
Pt 0.750 0.500 0.000
Li 0.000 0.164 0.327
Li 0.000 0.836 0.164
Pt 0.250 0.000 0.000
Li 0.000 0.673 0.836
Zn 0.000 0.333 0.667
Li 0.500 0.327 0.164
Pt 0.250 0.500 0.500
Pt 0.750 0.000 0.500
Li 0.500 0.836 0.673
Pt 0.250 0.500 0.000
Li 0.500 0.164 0.327
Li 0.000 0.164 0.836
Li 0.000 0.327 0.164
Li 0.500 0.164 0.836
Zn 0.000 0.667 0.333
Li 0.000 0.836 0.673
Zn 0.500 0.667 0.333

# 11
## Li2Zn3Pt2 (PBE-GGA)

Data for a relaxed structure of Li2Zn3Pt2.

Results
DFT formation energy = -0.491 eV/atom
density of states at the Fermi level = 0.345 states/eV per atom
symmetry = No. 12

a b c (Å): 3.875 4.658 6.156
angles (deg): 98.22 90.00 114.58
Atoms (fractional coordinates):
Zn 0.719 0.439 0.153
Li 0.139 0.278 0.438
Zn 0.000 0.000 0.000
Pt 0.432 0.864 0.269
Li 0.861 0.722 0.562
Zn 0.281 0.561 0.847
Pt 0.568 0.136 0.731

# 12
## Li3Zn6Pt (PBE-GGA)

Data for a relaxed structure of Li3Zn6Pt.

Results
DFT formation energy = -0.285 eV/atom
density of states at the Fermi level = 0.213 states/eV per atom
symmetry = No. 148

a b c (Å): 6.870 6.870 6.870
angles (deg): 101.87 101.87 101.87
Atoms (fractional coordinates):
Zn 0.245 0.985 0.746
Li 0.177 0.159 0.423
Pt 0.000 0.000 0.000
Pt 0.500 0.500 0.500
Zn 0.179 0.579 0.615
Zn 0.254 0.755 0.015
Zn 0.421 0.385 0.821
Zn 0.385 0.821 0.421
Li 0.841 0.577 0.823
Li 0.423 0.177 0.159
Zn 0.579 0.615 0.179
Zn 0.985 0.746 0.245
Li 0.577 0.823 0.841
Zn 0.015 0.254 0.755
Zn 0.755 0.015 0.254
Zn 0.746 0.245 0.985
Zn 0.615 0.179 0.579
Li 0.159 0.423 0.177
Zn 0.821 0.421 0.385
Li 0.823 0.841 0.577

# 13
## Li6ZnPt2 (PBE-GGA)

Data for a relaxed structure of Li6ZnPt2.

Results
DFT formation energy = -0.377 eV/atom
offset from the most stable computed form = 21.9 meV per atom
density of states at the Fermi level = 0.242 states/eV per atom
symmetry = No. 166

a b c (Å): 4.341 4.341 9.352
angles (deg): 76.58 76.58 60.00
Atoms (fractional coordinates):
Li 0.289 0.289 0.133
Pt 0.092 0.092 0.725
Li 0.189 0.189 0.432
Li 0.432 0.432 0.705
Li 0.568 0.568 0.295
Li 0.711 0.711 0.867
Zn 0.000 0.000 0.000
Pt 0.908 0.908 0.275
Li 0.811 0.811 0.568

# 14
## LiZn5Pt6 (PBE-GGA)

Data for a relaxed structure of LiZn5Pt6.

Results
DFT formation energy = -0.591 eV/atom
density of states at the Fermi level = 0.226 states/eV per atom
symmetry = No. 12

a b c (Å): 4.049 7.301 7.301
angles (deg): 112.08 106.14 106.14
Atoms (fractional coordinates):
Zn 0.000 0.669 0.331
Pt 0.749 0.915 0.582
Zn 0.000 0.331 0.669
Zn 0.500 0.161 0.839
Zn 0.500 0.839 0.161
Pt 0.251 0.418 0.085
Pt 0.246 0.746 0.746
Pt 0.754 0.254 0.254
Pt 0.749 0.582 0.915
Pt 0.251 0.085 0.418
Zn 0.500 0.500 0.500
Li 0.000 0.000 0.000

# 15
## LiZnPt (PBE-GGA)

Data for a relaxed structure of LiZnPt.

Results
DFT formation energy = -0.556 eV/atom
offset from the most stable computed form = 15.4 meV per atom
density of states at the Fermi level = 0.197 states/eV per atom
symmetry = No. 156

a b c (Å): 4.171 4.171 2.749
angles (deg): 90.00 90.00 120.00
Atoms (fractional coordinates):
Zn 0.333 0.667 0.738
Pt 0.667 0.333 0.317
Li 0.000 0.000 0.945

# 16
## LiZnPt3 (PBE-GGA)

Data for a relaxed structure of LiZnPt3.

Results
DFT formation energy = 0.278 eV/atom
offset from the most stable computed form = 0.0 meV per atom
density of states at the Fermi level = 1.012 states/eV per atom
symmetry = No. 221

a b c (Å): 4.234 4.234 4.234
angles (deg): 90.00 90.00 90.00
Atoms (fractional coordinates):
Pt 0.000 0.500 0.000
Pt 0.500 0.000 0.000
Li 0.000 0.000 0.000
Pt 0.000 0.000 0.500
Zn 0.500 0.500 0.500

# 17
## Li2Zn2Pt (PBE-GGA)

Data for a relaxed structure of Li2Zn2Pt.

Results
DFT formation energy = -0.293 eV/atom
offset from the most stable computed form = 128.6 meV per atom
density of states at the Fermi level = 0.409 states/eV per atom
symmetry = No. 127

a b c (Å): 6.874 6.874 2.961
angles (deg): 90.00 90.00 90.00
Atoms (fractional coordinates):
Pt 0.000 0.000 0.000
Li 0.168 0.668 0.500
Zn 0.866 0.634 0.000
Zn 0.634 0.134 0.000
Li 0.832 0.332 0.500
Li 0.332 0.168 0.500
Li 0.668 0.832 0.500
Pt 0.500 0.500 0.000
Zn 0.366 0.866 0.000
Zn 0.134 0.366 0.000

# 18
## LiZn5Pt2 (PBE-GGA)

Data for a relaxed structure of LiZn5Pt2.

Results
DFT formation energy = -0.359 eV/atom
density of states at the Fermi level = 0.427 states/eV per atom
symmetry = No. 139

a b c (Å): 4.550 4.550 6.489
angles (deg): 110.53 110.53 90.00
Atoms (fractional coordinates):
Li 0.000 0.000 0.000
Zn 0.875 0.375 0.749
Zn 0.625 0.125 0.251
Zn 0.375 0.875 0.749
Pt 0.749 0.749 0.497
Pt 0.251 0.251 0.503
Zn 0.500 0.500 0.000
Zn 0.125 0.625 0.251

# 19
## LiZnPt (PBE-GGA)

Data for a relaxed structure of LiZnPt.

Results
DFT formation energy = -0.360 eV/atom
offset from the most stable computed form = 212.0 meV per atom
density of states at the Fermi level = 0.448 states/eV per atom
symmetry = No. 156

a b c (Å): 2.796 2.796 6.558
angles (deg): 90.00 90.00 120.00
Atoms (fractional coordinates):
Pt 0.667 0.333 0.328
Zn 0.333 0.667 0.661
Li 0.000 0.000 0.011

# 20
## LiZn4Pt7 (PBE-GGA)

Data for a relaxed structure of LiZn4Pt7.

Results
DFT formation energy = -0.257 eV/atom
density of states at the Fermi level = 0.488 states/eV per atom
symmetry = No. 12

a b c (Å): 4.413 7.614 6.357
angles (deg): 80.40 69.69 73.15
Atoms (fractional coordinates):
Pt 0.925 0.325 0.825
Li 0.000 0.000 0.000
Pt 0.500 0.000 0.000
Zn 0.710 0.662 0.918
Pt 0.075 0.675 0.175
Pt 0.643 0.430 0.285
Pt 0.785 0.870 0.560
Zn 0.290 0.338 0.082
Zn 0.575 0.214 0.636
Pt 0.215 0.130 0.440
Zn 0.425 0.786 0.364
Pt 0.357 0.570 0.715